No. 1
First-principles (GGA-PBE) data for a relaxed structure of CuAgAu3, as listed in the Alexandria database.

```
CuAgAu3
1.0
5.0814 0.0000 0.0000
0.0000 5.0814 0.0000
0.0000 0.0000 5.0814
Au Cu Ag
3 1 1
Cartesian
0.0000 2.5407 0.0000
0.0000 0.0000 2.5407
2.5407 0.0000 0.0000
2.5407 2.5407 2.5407
0.0000 0.0000 0.0000
```

Calculated values
* total DFT energy (no corrections): -2.321 eV per atom
* crystal system: cubic
* ΔE to the lowest computed polymorph: 1005 meV per atom



No. 2
First-principles (GGA-PBE) data for a relaxed structure of Zr2ReHIr, as listed in the Alexandria database.

```
Zr2ReHIr
1.0
-3.3584 -0.8363 -2.9836
-2.8978 -0.7105 3.4609
-0.8632 3.4895 -0.0065
Re Ir Zr H
1 1 2 1
Cartesian
-0.4316 1.7448 -0.0032
-3.5597 0.9714 0.2354
-1.4489 -0.3552 1.7305
-1.6792 -0.4182 -1.4918
0.0000 0.0000 0.0000
```

Calculated values
* total DFT energy (no corrections): -8.770 eV per atom
* crystal system: tetragonal
* ΔE to the lowest computed polymorph: 6 meV per atom



No. 3
First-principles (GGA-PBE) data for a relaxed structure of AlFe2Pd8, as listed in the Alexandria database.

```
AlFe2Pd8
1.0
-3.7617 -1.0212 -0.7709
1.4715 -5.8833 0.6132
0.0180 2.5750 6.7409
Al Fe Pd
1 2 8
Cartesian
-1.8808 -0.5106 -0.3854
-2.3940 -1.4412 3.3513
0.1218 -2.8882 3.2318
-0.7018 -1.5216 5.4403
-1.1933 -5.1821 2.4480
-2.0237 -3.7448 4.5960
-3.2000 -0.1624 5.5902
-0.2485 -0.5846 1.9872
-1.0789 0.8527 4.1351
-1.5704 -2.8078 1.1428
0.9278 -4.1671 0.9930
```

Calculated values
* total DFT energy (no corrections): -5.927 eV per atom
* crystal system: monoclinic



Which spin magnetization belongs to each record? In order, 0.00 0.00 7.85 μB/cell.